Below is a relaxed structure of TaHgP2, with properties calculated at the GGA-PBE level.

Cell and atoms, written as CIF:
```
data_TaHgP2
_chemical_formula_sum 'Ta1 Hg1 P2'
_symmetry_space_group_name_H-M 'P -6 m 2'
_symmetry_Int_Tables_number 187
_symmetry_space_group_name_Hall 'P -6 2'
_cell_length_a 4.3300
_cell_length_b 4.3300
_cell_length_c 5.0930
_cell_angle_alpha 90.00
_cell_angle_beta 90.00
_cell_angle_gamma 120.00
loop_
_atom_site_label
_atom_site_fract_x
_atom_site_fract_y
_atom_site_fract_z
Ta1 0.0000 0.0000 0.0000
Hg1 0.3333 0.6667 0.5000
P1 0.0000 0.0000 0.5000
P2 0.6667 0.3333 0.0000
```

As for the calculated formation energy: 0.055 eV/atom. Its total energy is -5.689 eV per atom. The spin magnetization is 0.00 μB/f.u. The density of states at the Fermi level comes out at 2.5 states/eV/cell.



Below is a relaxed structure of GdHoZn2, with properties calculated at the GGA-PBE level.

Cell and atoms, written as CIF:
```
data_GdHoZn2
_chemical_formula_sum 'Gd4 Ho4 Zn8'
_symmetry_space_group_name_H-M 'F m -3 m'
_symmetry_Int_Tables_number 225
_symmetry_space_group_name_Hall '-F 4 2 3'
_cell_length_a 7.1585
_cell_length_b 7.1585
_cell_length_c 7.1585
_cell_angle_alpha 90.00
_cell_angle_beta 90.00
_cell_angle_gamma 90.00
loop_
_atom_site_label
_atom_site_fract_x
_atom_site_fract_y
_atom_site_fract_z
Gd1 0.0000 0.0000 0.0000
Ho1 0.0000 0.0000 0.5000
Zn1 0.2500 0.2500 0.2500
```

As for the calculated formation energy: -0.348 eV/atom. Its total energy is -5.649 eV per atom. The spin magnetization is 7.79 μB/f.u. The density of states at the Fermi level comes out at 12.3 states/eV/cell.



Below is a relaxed structure of TaPIr, with properties calculated at the GGA-PBE level.

Cell and atoms, written as CIF:
```
data_TaPIr
_chemical_formula_sum 'Ta4 P4 Ir4'
_symmetry_space_group_name_H-M 'F -4 3 m'
_symmetry_Int_Tables_number 216
_symmetry_space_group_name_Hall 'F -4 2 3'
_cell_length_a 5.9484
_cell_length_b 5.9484
_cell_length_c 5.9484
_cell_angle_alpha 90.00
_cell_angle_beta 90.00
_cell_angle_gamma 90.00
loop_
_atom_site_label
_atom_site_fract_x
_atom_site_fract_y
_atom_site_fract_z
Ta1 0.0000 0.0000 0.0000
P1 0.0000 0.0000 0.5000
Ir1 0.2500 0.2500 0.2500
```

As for the calculated formation energy: -0.297 eV/atom. Its total energy is -9.005 eV per atom. The spin magnetization is 0.00 μB/f.u. The density of states at the Fermi level comes out at 14.5 states/eV/cell.



Below is a relaxed structure of Ba3Br2O2, with properties calculated at the GGA-PBE level.

Cell and atoms, written as CIF:
```
data_Ba3Br2O2
_chemical_formula_sum 'Ba12 Br8 O8'
_symmetry_space_group_name_H-M 'P n m a'
_symmetry_Int_Tables_number 62
_cell_length_a 13.1996
_cell_length_b 6.4272
_cell_length_c 10.9946
_cell_angle_alpha 90.00
_cell_angle_beta 90.00
_cell_angle_gamma 90.00
loop_
_symmetry_equiv_pos_as_xyz
'x,y,z'
'-x,-y,-z'
'-x+1/2,-y,z+1/2'
'x+1/2,y,-z+1/2'
'x+1/2,-y+1/2,-z+1/2'
'-x+1/2,y+1/2,z+1/2'
'-x,y+1/2,-z'
'x,-y+1/2,z'
loop_
_atom_site_label
_atom_site_fract_x
_atom_site_fract_y
_atom_site_fract_z
Ba1 0.0375 0.2500 0.2024
Ba2 0.0794 0.2500 0.5518
Ba3 0.2000 0.7500 0.3460
Br1 0.1339 0.7500 0.0426
Br2 0.2036 0.7500 0.6678
O1 0.0649 0.5010 0.3682
```

Its total energy is -5.106 eV per atom. The energy above the most stable polymorph in this dataset comes out at 0.022 eV per atom. The spin magnetization is 0.00 μB/f.u. For the uncorrected formation energy, the calculation gives -55.0 kcal/mol of atoms. The density of states at the Fermi level comes out at 0.0 states/eV/cell.



Below is a relaxed structure of ZnCd2BiIr, with properties calculated at the GGA-PBE level.

Cell and atoms, written as CIF:
```
data_ZnCd2BiIr
_chemical_formula_sum 'Zn1 Cd2 Bi1 Ir1'
_symmetry_space_group_name_H-M 'P 4/m m m'
_symmetry_Int_Tables_number 123
_symmetry_space_group_name_Hall '-P 4 2'
_cell_length_a 4.9428
_cell_length_b 4.9428
_cell_length_c 4.7487
_cell_angle_alpha 90.00
_cell_angle_beta 90.00
_cell_angle_gamma 90.00
loop_
_atom_site_label
_atom_site_fract_x
_atom_site_fract_y
_atom_site_fract_z
Zn1 0.0000 0.0000 0.0000
Cd1 0.0000 0.5000 0.0000
Bi1 0.5000 0.5000 0.5000
Ir1 0.0000 0.0000 0.5000
```

As for the calculated formation energy: 0.567 eV/atom. Its total energy is -2.602 eV per atom. The spin magnetization is 0.00 μB/f.u. The density of states at the Fermi level comes out at 2.0 states/eV/cell.



Below is a relaxed structure of Zn2PRu, with properties calculated at the GGA-PBE level.

Cell and atoms, written as CIF:
```
data_Zn2PRu
_chemical_formula_sum 'Zn8 P4 Ru4'
_symmetry_space_group_name_H-M 'F -4 3 m'
_symmetry_Int_Tables_number 216
_symmetry_space_group_name_Hall 'F -4 2 3'
_cell_length_a 6.0793
_cell_length_b 6.0793
_cell_length_c 6.0793
_cell_angle_alpha 90.00
_cell_angle_beta 90.00
_cell_angle_gamma 90.00
loop_
_atom_site_label
_atom_site_fract_x
_atom_site_fract_y
_atom_site_fract_z
Zn1 0.0000 0.0000 0.0000
Zn2 0.2500 0.2500 0.2500
P1 0.2500 0.2500 0.7500
Ru1 0.0000 0.0000 0.5000
```

As for the calculated formation energy: 0.195 eV/atom. Its total energy is -4.113 eV per atom. The spin magnetization is 0.00 μB/f.u. The density of states at the Fermi level comes out at 14.8 states/eV/cell.



Below is a relaxed structure of La2MgBi, with properties calculated at the GGA-PBE level.

Cell and atoms, written as CIF:
```
data_La2MgBi
_chemical_formula_sum 'La8 Mg4 Bi4'
_symmetry_space_group_name_H-M 'I -4 2 d'
_symmetry_Int_Tables_number 122
_symmetry_space_group_name_Hall 'I -4 2bw'
_cell_length_a 8.9528
_cell_length_b 8.9528
_cell_length_c 6.8047
_cell_angle_alpha 90.00
_cell_angle_beta 90.00
_cell_angle_gamma 90.00
loop_
_atom_site_label
_atom_site_fract_x
_atom_site_fract_y
_atom_site_fract_z
La1 0.2419 0.2500 0.1250
Mg1 0.0000 0.0000 0.5000
Bi1 0.0000 0.0000 0.0000
```

As for the calculated formation energy: -0.233 eV/atom. Its total energy is -4.066 eV per atom. The energy above the most stable polymorph in this dataset comes out at 0.299 eV per atom. The spin magnetization is 0.00 μB/f.u. The density of states at the Fermi level comes out at 23.8 states/eV/cell.



Below is a relaxed structure of PrErMgSc, with properties calculated at the GGA-PBE level.

Cell and atoms, written as CIF:
```
data_PrErMgSc
_chemical_formula_sum 'Pr4 Er4 Mg4 Sc4'
_symmetry_space_group_name_H-M 'F -4 3 m'
_symmetry_Int_Tables_number 216
_symmetry_space_group_name_Hall 'F -4 2 3'
_cell_length_a 7.6946
_cell_length_b 7.6946
_cell_length_c 7.6946
_cell_angle_alpha 90.00
_cell_angle_beta 90.00
_cell_angle_gamma 90.00
loop_
_atom_site_label
_atom_site_fract_x
_atom_site_fract_y
_atom_site_fract_z
Pr1 0.0000 0.0000 0.0000
Er1 0.0000 0.0000 0.5000
Mg1 0.2500 0.2500 0.2500
Sc1 0.2500 0.2500 0.7500
```

As for the calculated formation energy: 0.025 eV/atom. Its total energy is -4.292 eV per atom. The energy above the most stable polymorph in this dataset comes out at 0.000 eV per atom. The spin magnetization is 0.00 μB/f.u. The density of states at the Fermi level comes out at 18.9 states/eV/cell.



What did the fifth record say?
Below is a relaxed structure of ZnCd2BiIr, with properties calculated at the GGA-PBE level.

Cell and atoms, written as CIF:
```
data_ZnCd2BiIr
_chemical_formula_sum 'Zn1 Cd2 Bi1 Ir1'
_symmetry_space_group_name_H-M 'P 4/m m m'
_symmetry_Int_Tables_number 123
_symmetry_space_group_name_Hall '-P 4 2'
_cell_length_a 4.9428
_cell_length_b 4.9428
_cell_length_c 4.7487
_cell_angle_alpha 90.00
_cell_angle_beta 90.00
_cell_angle_gamma 90.00
loop_
_atom_site_label
_atom_site_fract_x
_atom_site_fract_y
_atom_site_fract_z
Zn1 0.0000 0.0000 0.0000
Cd1 0.0000 0.5000 0.0000
Bi1 0.5000 0.5000 0.5000
Ir1 0.0000 0.0000 0.5000
```

As for the calculated formation energy: 0.567 eV/atom. Its total energy is -2.602 eV per atom. The spin magnetization is 0.00 μB/f.u. The density of states at the Fermi level comes out at 2.0 states/eV/cell.



> What is the spin magnetization in the sixth record?

0.00 μB/f.u.



> spin magnetization of number 5 (ZnCd2BiIr)?

0.00 μB/f.u.



> spin magnetization of number 4 (Ba3Br2O2)?

0.00 μB/f.u.